No. 1
Density functional theory data (PBE) for an optimized crystal structure of LiAc2Sm3Te6.

Cell: 7.8224 7.8224 7.9246 Å, 99.57 99.57 120.18°
With the nearest neighbours (Å) after each atom.
Element x y z (fractional)
Li1 0.0000 0.0000 0.0000  6 Te 3.11-3.15
Ac1 0.3357 0.6643 0.0000  6 Te 3.29-3.31
Ac2 0.6643 0.3357 0.0000  6 Te 3.29-3.31
Sm1 0.1734 0.8266 0.5000  6 Te 3.13-3.23
Sm2 0.5000 0.5000 0.5000  6 Te 3.13-3.28
Sm3 0.8266 0.1734 0.5000  6 Te 3.13-3.23
Te1 0.0838 0.3992 0.2554  1 Li 3.11, 3 Sm 3.13-3.23, 2 Ac 3.30-3.31
Te2 0.2277 0.2277 0.7388  1 Li 3.15, 3 Sm 3.17-3.28, 2 Ac 3.29
Te3 0.3992 0.0838 0.2554  1 Li 3.11, 3 Sm 3.13-3.23, 2 Ac 3.30-3.31
Te4 0.6008 0.9162 0.7446  1 Li 3.11, 3 Sm 3.13-3.23, 2 Ac 3.30-3.31
Te5 0.7723 0.7723 0.2612  1 Li 3.15, 3 Sm 3.17-3.28, 2 Ac 3.29
Te6 0.9162 0.6008 0.7446  1 Li 3.11, 3 Sm 3.13-3.23, 2 Ac 3.30-3.31

Computed properties:
- Total magnetization: 0.00 μB/f.u.
- Symmetry: C2/m
- Formation energy without anion corrections: -1.3946 eV/atom

No. 2
Density functional theory data (PBE) for an optimized crystal structure of La2TbDy5Ho.

Cell: 10.3214 10.3214 10.7455 Å, 90.00 90.00 148.19°
With the nearest neighbours (Å) after each atom.
Element x y z (fractional)
La1 0.1129 0.8871 0.5000  7 Dy 3.41-3.71, 1 Ho 3.46, 2 Tb 3.78
La2 0.1157 0.8843 0.0853  8 Dy 3.29-3.57
La3 0.8843 0.1157 0.5853  8 Dy 3.29-3.57
La4 0.8871 0.1129 0.0000  7 Dy 3.41-3.71, 1 Ho 3.46, 2 Tb 3.78
Tb1 0.4134 0.5866 0.2276  5 Dy 3.09-3.28
Tb2 0.5866 0.4134 0.7276  5 Dy 3.09-3.28
Dy1 0.0164 0.9836 0.7907  2 Tb 3.23, 2 La 3.41-3.43
Dy2 0.2814 0.7186 0.0756  1 Tb 3.09, 1 La 3.29, 2 Dy 3.43
Dy3 0.2991 0.7009 0.4735  4 Dy 3.43-3.81, 1 Tb 3.48, 3 La 3.51-3.71, 3 Ho 3.52-3.81
Dy4 0.3876 0.6124 0.7877  6 Dy 3.52-3.81, 4 La 3.57-3.63, 1 Ho 3.71
Dy5 0.4805 0.5195 0.5062  2 Tb 3.18-3.28, 2 La 3.52, 2 Dy 3.52-3.54
Dy6 0.5195 0.4805 0.0062  2 Tb 3.18-3.28, 2 La 3.52, 2 Dy 3.52-3.54
Dy7 0.6124 0.3876 0.2877  6 Dy 3.52-3.81, 4 La 3.57-3.63, 1 Ho 3.71
Dy8 0.7009 0.2991 0.9735  4 Dy 3.43-3.81, 1 Tb 3.48, 3 La 3.51-3.71, 3 Ho 3.52-3.81
Dy9 0.7186 0.2814 0.5756  1 Tb 3.09, 1 La 3.29, 2 Dy 3.43
Dy10 0.9836 0.0164 0.2907  2 Tb 3.23, 2 La 3.41-3.43
Ho1 0.2008 0.7992 0.7780  2 La 3.46-3.71, 8 Dy 3.52-3.81, 2 Tb 3.67
Ho2 0.7992 0.2008 0.2780  2 La 3.46-3.71, 8 Dy 3.52-3.81, 2 Tb 3.67

Computed properties:
- Total magnetization: 0.00 μB/f.u.
- Symmetry: Cmc2_1
- ΔE_f: 0.1384 eV/atom

No. 3
Density functional theory data (PBE) for an optimized crystal structure of Er5RuPt4.

Cell: 3.4396 3.4396 17.2468 Å, 90.00 90.00 90.00°
With the nearest neighbours (Å) after each atom.
Element x y z (fractional)
Er1 0.0000 0.0000 0.0000  8 Pt 3.00
Er2 0.0000 0.0000 0.2024  8 Pt 2.98
Er3 0.0000 0.0000 0.4045  4 Ru 2.94, 4 Pt 3.00
Er4 0.0000 0.0000 0.5955  4 Ru 2.94, 4 Pt 3.00
Er5 0.0000 0.0000 0.7976  8 Pt 2.98
Ru1 0.5000 0.5000 0.5000  8 Er 2.94
Pt1 0.5000 0.5000 0.1022  8 Er 2.98-3.00
Pt2 0.5000 0.5000 0.3025  8 Er 2.98-3.00
Pt3 0.5000 0.5000 0.6975  8 Er 2.98-3.00
Pt4 0.5000 0.5000 0.8978  8 Er 2.98-3.00

Computed properties:
- Total magnetization: 0.00 μB/f.u.
- Symmetry: P4/mmm
- ΔE_f: -1.1176 eV/atom

No. 4
Density functional theory data (PBE) for an optimized crystal structure of KYP2.

Cell: 3.7547 3.7547 8.7154 Å, 90.00 90.00 90.00°
With the nearest neighbours (Å) after each atom.
Element x y z (fractional)
K1 0.0000 0.0000 0.0000  5 P 3.25-3.29
Y1 0.5000 0.5000 0.5397  5 P 2.76
P1 0.0000 0.0000 0.6271  4 Y 2.76
P2 0.5000 0.5000 0.2230  1 Y 2.76

Computed properties:
- Total magnetization: 0.00 μB/f.u.
- Symmetry: P4mm
- ΔE_f: -0.3741 eV/atom